The following is a DFT calculation (PBE) of a geometry-optimized Na3IrF structure.

extended XYZ file:
```
5
Lattice="5.540 0.000 0.000 0.000 5.540 0.000 0.000 0.000 5.540" Properties=species:S:1:pos:R:3 pbc="T T T"
Na 0.000 0.000 2.770
Na 0.000 2.770 0.000
Na 2.770 0.000 0.000
Ir 0.000 0.000 0.000
F 2.770 2.770 2.770
```

polymorph energy (0 for the lowest one): 645.2 meV/atom
E_form (uncorrected): 145 meV per atom